[1]
A plane-wave DFT calculation with PBE-GGA was carried out for TbCo3As3 after structural relaxation.

Output
* magnetic moment: 0.0 μB per cell
* V: 17.79 Å³ per atom
* theoretical density: 7473 kg/m3
* energy above the lowest structure with this stoichiometry: 0 meV/atom
* total energy: -6.182 eV per atom

Unit cell a=6.6468 b=6.6468 c=19.5293 alpha=90.00 beta=90.00 gamma=120.00
Closest atoms and distances in Å follow each position.
Space group R-3 (No. 148, hexagonal axes)
Symmetry-distinct sites (fractional):
Tb1 0.0000 0.0000 0.1669 x6  6 As 2.91-2.92, 6 Co 3.23-3.25
Co1 0.0025 0.6505 0.3763 x18  4 As 2.29-2.36
As1 0.0022 0.6936 0.5915 x18  4 Co 2.29-2.36


[2]
A plane-wave DFT calculation with PBE-GGA was carried out for Tb2Co12As7 after structural relaxation.

Output
* magnetic moment: 6.0 μB per cell
* V: 13.51 Å³ per atom
* theoretical density: 9072 kg/m3
* total energy: -6.518 eV per atom

Unit cell a=9.3619 b=9.3619 c=3.7367 alpha=90.00 beta=90.00 gamma=120.00
Closest atoms and distances in Å follow each position.
Space group P-6 (No. 174)
Symmetry-distinct sites (fractional):
Tb1 0.0000 0.0000 0.0000 x1  6 As 2.95, 12 Co 3.08-3.29
Tb2 0.3333 0.6667 0.5000 x1  6 As 2.94, 9 Co 3.04-3.24
Co1 0.0464 0.2817 0.5000 x3  4 As 2.35-2.40
Co2 0.1012 0.7098 0.0000 x3  4 As 2.33-2.38, 1 Co 2.58
Co3 0.3901 0.1794 0.0000 x3  4 As 2.25-2.36
Co4 0.5412 0.4345 0.5000 x3  5 As 2.37-2.62
As1 0.0733 0.4485 0.0000 x3  7 Co 2.30-2.55
As2 0.2617 0.2216 0.5000 x3  7 Co 2.35-2.40
As3 0.6667 0.3333 0.0000 x1  3 Co 2.25


[3]
A plane-wave DFT calculation with PBE-GGA was carried out for TbCo5As3 after structural relaxation.

Output
* magnetic moment: 0.1 μB per cell
* V: 14.31 Å³ per atom
* theoretical density: 8746 kg/m3
* total energy: -6.457 eV per atom

Unit cell a=3.7131 b=11.8636 c=11.6946 alpha=90.00 beta=90.00 gamma=90.00
Closest atoms and distances in Å follow each position.
Space group Cmcm (No. 63)
Symmetry-distinct sites (fractional):
Tb1 0.0000 0.1596 0.2500 x4  7 As 3.07-3.31, 8 Co 3.30-3.37
Co1 0.0000 0.0000 0.0000 x4  4 As 2.39, 6 Co 2.45-2.57
Co2 0.0000 0.1948 0.5698 x8  4 As 2.22-2.46, 1 Co 2.45
Co3 0.0000 0.4472 0.1422 x8  4 As 2.33-2.34, 3 Co 2.52-2.57
As1 0.0000 0.1090 0.7500 x4  6 Co 2.34
As2 0.0000 0.3806 0.5449 x8  7 Co 2.22-2.46


[4]
A plane-wave DFT calculation with PBE-GGA was carried out for TbCo3As3 after structural relaxation.

Output
* magnetic moment: 0.0 μB per cell
* V: 18.24 Å³ per atom
* theoretical density: 7291 kg/m3
* energy above the lowest structure with this stoichiometry: 257 meV/atom
* total energy: -5.926 eV per atom

Unit cell a=6.3439 b=6.3439 c=6.3439 alpha=90.00 beta=90.00 gamma=90.00
Closest atoms and distances in Å follow each position.
Space group Pm-3n (No. 223)
Symmetry-distinct sites (fractional):
Tb1 0.0000 0.0000 0.0000 x2  12 As 3.55, 12 Co 3.55
Co1 0.0000 0.2500 0.5000 x6  4 As 2.24
As1 0.0000 0.5000 0.2500 x6  4 Co 2.24


[5]
A plane-wave DFT calculation with PBE-GGA was carried out for CoTc2As after structural relaxation.

Output
* magnetic moment: 1.7 μB per cell
* V: 13.98 Å³ per atom
* theoretical density: 9792 kg/m3
* total energy: -7.868 eV per atom

Unit cell a=3.0066 b=4.2913 c=4.3355 alpha=90.00 beta=90.00 gamma=90.00
Closest atoms and distances in Å follow each position.
Space group Pmmm (No. 47)
Symmetry-distinct sites (fractional):
Co1 0.0000 0.0000 0.0000 x1  4 Tc 2.62, 4 As 2.64
Tc1 0.0000 0.5000 0.5000 x1  4 As 2.62, 4 Tc 2.64
Tc2 0.5000 0.5000 0.0000 x1  4 Co 2.62, 4 Tc 2.64
As1 0.5000 0.0000 0.5000 x1  4 Tc 2.62, 4 Co 2.64


[6]
A plane-wave DFT calculation with PBE-GGA was carried out for CoTc2As after structural relaxation.

Output
* magnetic moment: 0.0 μB per cell
* V: 13.53 Å³ per atom
* theoretical density: 10118 kg/m3
* total energy: -8.099 eV per atom

Unit cell a=3.9774 b=2.8069 c=9.6977 alpha=90.00 beta=90.00 gamma=90.00
Closest atoms and distances in Å follow each position.
Space group Amm2 (No. 38)
Symmetry-distinct sites (fractional):
Co1 0.0000 0.0000 0.0000 x2  2 As 2.30, 1 Tc 2.50
Tc1 0.0000 0.0000 0.2578 x2  3 Co 2.50-2.74, 4 As 2.71, 4 Tc 2.76
Tc2 0.5000 0.0000 0.6235 x2  3 As 2.50-2.73, 4 Co 2.71, 4 Tc 2.76
As1 0.5000 0.0000 0.8815 x2  2 Co 2.30, 1 Tc 2.50


[7]
A plane-wave DFT calculation with PBE-GGA was carried out for CoTcAs4 after structural relaxation.

Output
* magnetic moment: 0.7 μB per cell
* V: 16.52 Å³ per atom
* theoretical density: 7650 kg/m3
* energy above the lowest structure with this stoichiometry: 0 meV/atom
* total energy: -6.036 eV per atom

Unit cell a=6.3413 b=6.4398 c=4.8561 alpha=90.00 beta=91.49 gamma=90.00
Closest atoms and distances in Å follow each position.
Space group P2_1/c (No. 14)
Symmetry-distinct sites (fractional):
Co1 0.0000 0.0000 0.0000 x2  6 As 2.40-2.54
Tc1 0.5000 0.0000 0.5000 x2  8 As 2.49-2.75
As1 0.1347 0.1413 0.4613 x4  2 Co 2.47-2.54, 1 Tc 2.49, 1 As 2.53
As2 0.3539 0.6313 0.4914 x4  1 Co 2.40, 1 As 2.51, 1 Tc 2.55


[8]
A plane-wave DFT calculation with PBE-GGA was carried out for CoTc3As after structural relaxation.

Output
* magnetic moment: 1.2 μB per cell
* V: 17.27 Å³ per atom
* theoretical density: 8227 kg/m3
* energy above the lowest structure with this stoichiometry: 0 meV/atom
* total energy: -7.222 eV per atom

Unit cell a=4.4201 b=4.4201 c=4.4201 alpha=90.00 beta=90.00 gamma=90.00
Closest atoms and distances in Å follow each position.
Space group Pm-3m (No. 221)
Symmetry-distinct sites (fractional):
Co1 0.0000 0.0000 0.0000 x1  6 Tc 2.21
Tc1 0.0000 0.0000 0.5000 x3  2 Co 2.21
As1 0.5000 0.5000 0.5000 x1  12 Tc 3.13